1.
This record from Alexandria describes SbIrNO2 after structural relaxation. The functional is PBE.

The total magnetization is 0.0000 μB per atom. Its total DFT energy (no corrections) is -30.45 eV/cell. The value obtained for the density of states at the Fermi level is 2.75 states/eV per cell.

```
SbIrNO2
1.0
4.117 0.000 0.000
0.000 4.117 0.000
0.000 0.000 3.780
Sb Ir O N
1 1 2 1
Direct
0.500 0.500 0.500
0.000 0.000 0.000
0.000 0.500 0.000
0.500 0.000 0.000
0.000 0.000 0.500
```

=====

2.
This record from Alexandria describes ScIrN2O after structural relaxation. The functional is PBE.

The total magnetization is 0.0609 μB per atom. Its total DFT energy (no corrections) is -31.97 eV/cell. The value obtained for the density of states at the Fermi level is 4.51 states/eV per cell.

```
ScIrN2O
1.0
-0.303 1.631 -3.736
-1.287 -3.593 -1.464
-3.692 1.020 0.744
Sc Ir O N
1 1 1 2
Direct
0.000 0.000 0.000
0.500 0.500 0.500
0.000 0.000 0.500
0.000 0.500 0.000
0.500 0.000 0.000
```

=====

3.
This record from Alexandria describes ScIrN2O after structural relaxation. The functional is PBE.

The total magnetization is 0.0000 μB per atom. Its total DFT energy (no corrections) is -37.28 eV/cell. The value obtained for the density of states at the Fermi level is 3.43 states/eV per cell.

```
ScIrN2O
1.0
-3.636 0.915 0.682
-0.627 -3.504 1.362
1.035 1.288 3.790
Sc Ir O N
1 1 1 2
Direct
0.500 0.500 0.500
0.000 0.000 0.000
0.000 0.000 0.500
0.000 0.500 0.000
0.500 0.000 0.000
```

=====

4.
This record from Alexandria describes IrSeN2O after structural relaxation. The functional is PBE.

The total magnetization is 0.0000 μB per atom. Its total DFT energy (no corrections) is -23.22 eV/cell. The value obtained for the density of states at the Fermi level is 2.08 states/eV per cell.

```
IrSeN2O
1.0
3.777 0.000 0.000
0.000 3.777 0.000
0.000 0.000 3.935
Ir O Se N
1 1 1 2
Direct
0.500 0.500 0.500
0.000 0.000 0.000
0.000 0.000 0.500
0.000 0.500 0.000
0.500 0.000 0.000
```

=====

5.
This record from Alexandria describes IrSeN2O after structural relaxation. The functional is PBE.

The total magnetization is 0.0000 μB per atom. Its total DFT energy (no corrections) is -28.63 eV/cell. The value obtained for the density of states at the Fermi level is 2.85 states/eV per cell.

```
IrSeN2O
1.0
3.897 0.000 0.000
0.000 3.897 0.000
0.000 0.000 3.931
Ir O Se N
1 1 1 2
Direct
0.000 0.000 0.000
0.000 0.000 0.500
0.500 0.500 0.500
0.000 0.500 0.000
0.500 0.000 0.000
```

=====

6.
This record from Alexandria describes IrSeN2O after structural relaxation. The functional is PBE.

The total magnetization is 0.0987 μB per atom. Its total DFT energy (no corrections) is -28.67 eV/cell. The value obtained for the density of states at the Fermi level is 2.81 states/eV per cell.

```
IrSeN2O
1.0
3.667 0.000 0.000
0.000 3.667 0.000
0.000 0.000 5.522
Ir O Se N
1 1 1 2
Direct
0.000 0.000 0.000
0.500 0.500 0.500
0.000 0.000 0.500
0.000 0.500 0.000
0.500 0.000 0.000
```

=====

7.
This record from Alexandria describes IrSeNO2 after structural relaxation. The functional is PBE.

The total magnetization is 0.4604 μB per atom. Its total DFT energy (no corrections) is -24.04 eV/cell. The value obtained for the density of states at the Fermi level is 3.67 states/eV per cell.

```
IrSeNO2
1.0
3.729 0.000 0.000
0.000 3.729 0.000
0.000 0.000 4.242
Ir O Se N
1 2 1 1
Direct
0.500 0.500 0.500
0.000 0.500 0.000
0.500 0.000 0.000
0.000 0.000 0.000
0.000 0.000 0.500
```

=====

8.
This record from Alexandria describes IrSeN2O after structural relaxation. The functional is PBE.

The total magnetization is 0.1750 μB per atom. Its total DFT energy (no corrections) is -24.68 eV/cell. The value obtained for the density of states at the Fermi level is 4.42 states/eV per cell.

```
IrSeN2O
1.0
-0.588 2.869 2.579
-2.025 -2.450 2.264
3.061 -0.930 1.732
Ir O Se N
1 1 1 2
Direct
0.500 0.500 0.500
0.000 0.000 0.500
0.000 0.000 0.000
0.000 0.500 0.000
0.500 0.000 0.000
```